[1]
Below is a PBEsol-optimized structure of LaZr2Te, with properties calculated at the SCAN level.

E_form (uncorrected) = -0.10 eV/atom
raw total energy = -35.539 eV per atom
size of the total moment = 0.0 Bohr magnetons per cell

Unit cell a=7.321 b=7.321 c=7.321 alpha=90.00 beta=90.00 gamma=90.00
Space group F-43m (No. 216)
Inequivalent atoms, fractional coordinates:
La1 0.000 0.000 0.000 [4 per cell]
Zr1 0.000 0.000 0.500 [4 per cell]
Zr2 0.250 0.250 0.750 [4 per cell]
Te1 0.250 0.250 0.250 [4 per cell]

***

[2]
Below is a PBEsol-optimized structure of FeWAu2, with properties calculated at the SCAN level.

raw total energy = -56.146 eV per atom
relative energy among the computed polymorphs = 0.73 eV/f.u.
size of the total moment = 4.6 Bohr magnetons per cell

Unit cell a=9.297 b=2.751 c=4.785 alpha=90.00 beta=99.41 gamma=90.00
Space group C2/m (No. 12)
Inequivalent atoms, fractional coordinates:
Fe1 0.000 0.000 0.000 [2 per cell]
W1 0.000 0.500 0.500 [2 per cell]
Au1 0.249 0.500 0.248 [4 per cell]

***

[3]
Below is a PBEsol-optimized structure of Ba2Tl2Bi, with properties calculated at the SCAN level.

raw total energy = -60.882 eV per atom
size of the total moment = 0.0 Bohr magnetons per cell

Unit cell a=6.757 b=6.757 c=8.853 alpha=90.00 beta=90.00 gamma=90.00
Space group I4/mmm (No. 139)
Inequivalent atoms, fractional coordinates:
Ba1 0.000 0.500 0.250 [4 per cell]
Tl1 0.000 0.000 0.155 [4 per cell]
Bi1 0.000 0.000 0.500 [2 per cell]